The following is a DFT calculation (PBE-GGA) of AlCd2Ag after structural relaxation.

```
4
Lattice="3.0253 0.0000 0.0000 0.0000 3.0253 0.0000 0.0000 0.0000 8.6437" Properties=species:S:1:pos:R:3 pbc="T T T"
Al 1.5127 1.5127 6.3250
Ag 0.0000 0.0000 4.4966
Cd 0.0000 0.0000 8.4969
Cd 1.5127 1.5127 2.2906
```

Total magnetization = 0.0 μB per cell
Crystal system = tetragonal
E_form = 0.04 eV per atom
DOS at the Fermi energy = 1.730 states/eV/cell
DFT total energy = -2.07 eV/atom
V = 19.8 A^3/atom